Entry 1:
Here is a relaxed structure of ZnSbPdF2 from Alexandria. Energies are from GGA-PBE.

The calculation puts the electronic total energy at -3.995 eV/atom. For the raw formation energy, the calculation gives -1.13 eV per atom.

The structure belongs to space group P4/mmm (No. 123); the cell edges are 3.871, 3.871 and 6.011 Å and the angles 90.00°, 90.00° and 90.00°. The distinct sites, in fractional coordinates, are Zn at (0.000, 0.000, 0.000), Sb at (0.500, 0.500, 0.500), Pd at (0.000, 0.000, 0.500) and F at (0.000, 0.500, 0.000).

=====

Entry 2:
Here is a relaxed structure of ScPd3F from Alexandria. Energies are from GGA-PBE.

The calculation puts the electronic total energy at -5.064 eV/atom. The excess energy over the best structure of this formula in the dataset comes out at 0.0000 eV per atom. For the raw formation energy, the calculation gives -0.31 eV per atom.

The structure belongs to space group Pm-3m (No. 221); the cell edges are 4.388, 4.388 and 4.388 Å and the angles 90.00°, 90.00° and 90.00°. The distinct sites, in fractional coordinates, are Sc at (0.000, 0.000, 0.000), Pd at (0.000, 0.500, 0.500) and F at (0.500, 0.500, 0.500).

=====

Entry 3:
Here is a relaxed structure of Sc2PdF from Alexandria. Energies are from GGA-PBE.

The calculation puts the electronic total energy at -6.369 eV/atom. The excess energy over the best structure of this formula in the dataset comes out at 0.1389 eV per atom. For the raw formation energy, the calculation gives -1.44 eV per atom.

The structure belongs to space group I-42d (No. 122); the cell edges are 6.346, 6.346 and 7.108 Å and the angles 90.00°, 90.00° and 90.00°. The distinct sites, in fractional coordinates, are Sc at (0.191, 0.750, 0.125), Pd at (0.000, 0.000, 0.500) and F at (0.000, 0.000, 0.000).

=====

Entry 4:
Here is a relaxed structure of ScPd3F from Alexandria. Energies are from GGA-PBE.

The calculation puts the electronic total energy at -4.443 eV/atom. The excess energy over the best structure of this formula in the dataset comes out at 0.6207 eV per atom. For the raw formation energy, the calculation gives 0.31 eV per atom.

The structure belongs to space group Pm-3m (No. 221); the cell edges are 4.821, 4.821 and 4.821 Å and the angles 90.00°, 90.00° and 90.00°. The distinct sites, in fractional coordinates, are Sc at (0.000, 0.000, 0.000), Pd at (0.000, 0.000, 0.500) and F at (0.500, 0.500, 0.500).

=====

Entry 5:
Here is a relaxed structure of Sc2Pd2F from Alexandria. Energies are from GGA-PBE.

The calculation puts the electronic total energy at -6.204 eV/atom. For the raw formation energy, the calculation gives -1.22 eV per atom.

The structure belongs to space group P4/mbm (No. 127); the cell edges are 6.698, 6.698 and 3.935 Å and the angles 90.00°, 90.00° and 90.00°. The distinct sites, in fractional coordinates, are Sc at (0.174, 0.326, 0.000), Pd at (0.137, 0.637, 0.500) and F at (0.000, 0.000, 0.000).

=====

Entry 6:
Here is a relaxed structure of Sc2PdF from Alexandria. Energies are from GGA-PBE.

The calculation puts the electronic total energy at -6.508 eV/atom. The excess energy over the best structure of this formula in the dataset comes out at 0.0000 eV per atom. For the raw formation energy, the calculation gives -1.58 eV per atom.

The structure belongs to space group R-3m (No. 166, hexagonal axes); the cell edges are 4.0073, 4.0073 and 20.1344 Å and the angles 90.00°, 90.00° and 120.00°. The distinct sites, in fractional coordinates, are Sc at (0.0000, 0.0000, 0.1011), Pd at (0.0000, 0.0000, 0.5000) and F at (0.0000, 0.0000, 0.0000).